No. 1
Computed, not measured: a relaxed Mg2TlPt crystal at the PBE-GGA level of DFT.

a = 4.763 Å, b = 4.763 Å, c = 4.763 Å
α = 60.00°, β = 60.00°, γ = 60.00°
Element x y z (fractional)
Mg (0.000, 0.000, 0.000)
Mg (0.250, 0.250, 0.250)
Tl (0.500, 0.500, 0.500)
Pt (0.750, 0.750, 0.750)

SG = F-43m (216)
ΔE_f = -1.05 eV per formula unit

=====

No. 2
Computed, not measured: a relaxed MgTlPt3 crystal at the PBE-GGA level of DFT.

a = 4.703 Å, b = 4.703 Å, c = 4.703 Å
α = 90.00°, β = 90.00°, γ = 90.00°
Element x y z (fractional)
Mg (0.000, 0.000, 0.000)
Tl (0.500, 0.500, 0.500)
Pt (0.000, 0.000, 0.500)
Pt (0.000, 0.500, 0.000)
Pt (0.500, 0.000, 0.000)

SG = Pm-3m (221)
offset from the most stable computed form = 0.0 kJ/mol of atoms
ΔE_f = 2.95 eV per formula unit

=====

No. 3
Computed, not measured: a relaxed Mg2TlPt2 crystal at the PBE-GGA level of DFT.

a = 6.606 Å, b = 6.606 Å, c = 6.606 Å
α = 143.13°, β = 143.13°, γ = 53.13°
Element x y z (fractional)
Mg (0.250, 0.750, 0.500)
Mg (0.750, 0.250, 0.500)
Tl (0.000, 0.000, 0.000)
Pt (0.388, 0.388, 0.000)
Pt (0.612, 0.612, 0.000)

SG = I4/mmm (139)
ΔE_f = -2.08 eV per formula unit

=====

DFT total energy / Ry per atom: -0.2324, -0.2812, -0.2898
Total magnetization / μB per atom: 0.00, 0.00, 0.00